1.
Entry from OQMD: NaTmCoTe3 after structural relaxation (GGA-PBE).

a b c (Å): 7.7478 7.7478 11.0147
angles (deg): 90.00 90.00 30.81
With the nearest neighbours (Å) after each atom.
Fractional coordinates of all 12 atoms:
Tm 0.0000 0.0000 0.0000  6 Te 3.01-3.02
Co 0.5226 0.5226 0.7500  4 Te 2.58-2.60
Te 0.3637 0.3637 0.0738  1 Co 2.58
Na 0.2419 0.2419 0.7500  6 Te 3.24-3.32
Co 0.4774 0.4774 0.2500  4 Te 2.58-2.60
Te 0.9163 0.9163 0.7500  2 Co 2.60
Tm 0.0000 0.0000 0.5000  6 Te 3.01-3.02
Te 0.6363 0.6363 0.9262  1 Co 2.58
Te 0.0837 0.0837 0.2500  2 Co 2.60
Te 0.3637 0.3637 0.4262  1 Co 2.58
Te 0.6363 0.6363 0.5738  1 Co 2.58
Na 0.7581 0.7581 0.2500  6 Te 3.24-3.32

Results
DFT total energy = -4.46 eV/atom
Symmetry = Cmcm, No. 63
Total magnetization = 4.7 Bohr magnetons per cell



2.
Entry from OQMD: NaYCoTe3 after structural relaxation (GGA-PBE).

a b c (Å): 11.9496 4.2804 12.8414
angles (deg): 90.00 90.00 90.00
With the nearest neighbours (Å) after each atom.
Fractional coordinates of all 24 atoms:
Te 0.8979 0.5000 0.5696  1 Co 2.58
Co 0.2476 0.5000 0.7864  4 Te 2.53-2.58
Y 0.4738 0.5000 0.1973  6 Te 3.07-3.21
Te 0.7131 0.5000 0.3118  2 Co 2.53
Y 0.0262 0.0000 0.6973  6 Te 3.07-3.21
Te 0.7869 0.0000 0.8118  2 Co 2.53
Te 0.9471 0.0000 0.1332  1 Co 2.55
Na 0.3003 0.5000 0.4910  7 Te 3.19-3.53, 2 Co 3.44
Te 0.2131 0.5000 0.1882  2 Co 2.53
Na 0.8003 0.5000 0.0090  7 Te 3.19-3.53, 2 Co 3.44
Te 0.6021 0.0000 0.0696  1 Co 2.58
Na 0.1997 0.0000 0.9910  7 Te 3.19-3.53, 2 Co 3.44
Te 0.2869 0.0000 0.6882  2 Co 2.53
Y 0.9738 0.5000 0.3027  6 Te 3.07-3.21
Na 0.6997 0.0000 0.5090  7 Te 3.19-3.53, 2 Co 3.44
Te 0.1021 0.0000 0.4304  1 Co 2.58
Te 0.3979 0.5000 0.9304  1 Co 2.58
Te 0.4471 0.0000 0.3668  1 Co 2.55
Te 0.0529 0.5000 0.8668  1 Co 2.55
Co 0.7476 0.5000 0.7136  4 Te 2.53-2.58
Y 0.5262 0.0000 0.8027  6 Te 3.07-3.21
Te 0.5529 0.5000 0.6332  1 Co 2.55
Co 0.2524 0.0000 0.2864  4 Te 2.53-2.58
Co 0.7524 0.0000 0.2136  4 Te 2.53-2.58

Results
DFT total energy = -4.78 eV/atom
Symmetry = Pnma, No. 62
Total magnetization = 8.1 Bohr magnetons per cell
Relative energy among the computed polymorphs = 0.035 eV/atom



3.
Entry from OQMD: NaYCoTe3 after structural relaxation (GGA-PBE).

a b c (Å): 7.7679 7.7679 11.1450
angles (deg): 90.00 90.00 30.92
With the nearest neighbours (Å) after each atom.
Fractional coordinates of all 12 atoms:
Na 0.7570 0.7570 0.2500  6 Te 3.24-3.31
Na 0.2430 0.2430 0.7500  6 Te 3.24-3.31
Co 0.4787 0.4787 0.2500  4 Te 2.58-2.61
Te 0.3634 0.3634 0.4218  1 Co 2.58
Y 0.0000 0.0000 0.5000  6 Te 3.04-3.06
Y 0.0000 0.0000 0.0000  6 Te 3.04-3.06
Te 0.6366 0.6366 0.9218  1 Co 2.58
Te 0.3634 0.3634 0.0782  1 Co 2.58
Te 0.9156 0.9156 0.7500  2 Co 2.61
Te 0.0844 0.0844 0.2500  2 Co 2.61
Co 0.5213 0.5213 0.7500  4 Te 2.58-2.61
Te 0.6366 0.6366 0.5782  1 Co 2.58

Results
DFT total energy = -4.81 eV/atom
Symmetry = Cmcm, No. 63
Total magnetization = 4.7 Bohr magnetons per cell
Relative energy among the computed polymorphs = 0.000 eV/atom



4.
Entry from OQMD: NaZrCoTe3 after structural relaxation (GGA-PBE).

a b c (Å): 10.5425 3.9122 15.1273
angles (deg): 90.00 90.00 90.00
With the nearest neighbours (Å) after each atom.
Fractional coordinates of all 24 atoms:
Na 0.2281 0.7500 0.0057  7 Te 3.20-3.48
Zr 0.9757 0.7500 0.2525  6 Te 2.90-2.95, 2 Co 3.19
Te 0.0819 0.7500 0.6117  1 Co 2.56
Te 0.5501 0.2500 0.3819  1 Co 2.56
Co 0.7617 0.7500 0.7748  4 Te 2.56
Te 0.4499 0.7500 0.6181  1 Co 2.56
Co 0.2383 0.2500 0.2252  4 Te 2.56
Te 0.7705 0.2500 0.6655  2 Co 2.56
Te 0.7296 0.7500 0.1655  2 Co 2.56
Te 0.2295 0.7500 0.3345  2 Co 2.56
Te 0.5819 0.7500 0.8883  1 Co 2.56
Zr 0.5243 0.2500 0.7525  6 Te 2.90-2.95, 2 Co 3.19
Te 0.9499 0.7500 0.8819  1 Co 2.56
Zr 0.4757 0.7500 0.2475  6 Te 2.90-2.95, 2 Co 3.19
Zr 0.0243 0.2500 0.7475  6 Te 2.90-2.95, 2 Co 3.19
Te 0.0501 0.2500 0.1181  1 Co 2.56
Co 0.2617 0.7500 0.7252  4 Te 2.56
Te 0.2705 0.2500 0.8345  2 Co 2.56
Co 0.7383 0.2500 0.2748  4 Te 2.56
Na 0.7281 0.7500 0.4943  7 Te 3.20-3.48
Te 0.9181 0.2500 0.3883  1 Co 2.56
Te 0.4181 0.2500 0.1117  1 Co 2.56
Na 0.2719 0.2500 0.5057  7 Te 3.20-3.48
Na 0.7719 0.2500 0.9943  7 Te 3.20-3.48

Results
DFT total energy = -5.04 eV/atom
Symmetry = Pnma, No. 62
Total magnetization = 6.0 Bohr magnetons per cell



5.
Entry from OQMD: NaZrCoTe3 after structural relaxation (GGA-PBE).

a b c (Å): 7.9088 7.9088 10.4735
angles (deg): 90.00 90.00 151.55
With the nearest neighbours (Å) after each atom.
Fractional coordinates of all 12 atoms:
Zr 0.5000 0.5000 0.5000  6 Te 2.91-2.93
Te 0.8667 0.1333 0.0690  1 Co 2.55
Co 0.9778 0.0222 0.2500  4 Te 2.55-2.56
Te 0.5860 0.4140 0.2500  2 Co 2.56
Te 0.1333 0.8667 0.5690  1 Co 2.55
Te 0.4140 0.5860 0.7500  2 Co 2.56
Te 0.1333 0.8667 0.9310  1 Co 2.55
Na 0.2540 0.7460 0.2500  6 Te 3.22-3.23
Co 0.0222 0.9778 0.7500  4 Te 2.55-2.56
Te 0.8667 0.1333 0.4310  1 Co 2.55
Na 0.7460 0.2540 0.7500  6 Te 3.22-3.23
Zr 0.5000 0.5000 0.0000  6 Te 2.91-2.93

Results
DFT total energy = -5.04 eV/atom
Symmetry = Cmcm, No. 63
Total magnetization = 2.9 Bohr magnetons per cell



6.
Entry from OQMD: NaTlCo after structural relaxation (GGA-PBE).

a b c (Å): 4.5365 4.5365 4.5365
angles (deg): 60.00 60.00 60.00
With the nearest neighbours (Å) after each atom.
Fractional coordinates of all 3 atoms:
Co 0.0000 0.0000 0.0000  4 Tl 2.78, 4 Na 2.78
Na 0.2500 0.2500 0.2500  4 Co 2.78
Tl 0.7500 0.7500 0.7500  4 Co 2.78

Results
DFT total energy = -2.96 eV/atom
Symmetry = F-43m, No. 216
Total magnetization = 1.0 Bohr magnetons per cell